CoOsNO: relaxed, GGA+U.

* energy above the most stable polymorph in this dataset: 788 meV per atom
* mass density: 12.150 g/cm3

a = 3.4674 Å, b = 3.4674 Å, c = 6.3470 Å
α = 90.00°, β = 90.00°, γ = 90.00°
Closest atoms and distances in Å follow each position.
Fractional positions:
1 Co 0.2500 0.7500 0.0000  4 N 1.96
2 Co 0.7500 0.2500 0.0000  4 N 1.96
3 Os 0.2500 0.2500 0.3105  4 O 2.11
4 Os 0.7500 0.7500 0.6895  4 O 2.11
5 N 0.2500 0.2500 0.8552  4 Co 1.96
6 N 0.7500 0.7500 0.1448  4 Co 1.96
7 O 0.2500 0.7500 0.5000  4 Os 2.11
8 O 0.7500 0.2500 0.5000  4 Os 2.11